(1)
VASP calculation (PBEsol) on an optimized crystal structure of Mo2AsCl.

Computed properties:
As for the crystal system: cubic. The calculation puts the total energy at -6.90 eV/atom. The density of states at the Fermi level comes out at 1.6473 states/eV/atom.

a = 4.4721 Å, b = 4.4721 Å, c = 4.4721 Å
α = 60.00°, β = 60.00°, γ = 60.00°
Last column: nearest neighbours and their distance in Å.
Element x y z (fractional)
Mo  0.0000  0.0000  0.0000  4 Cl 2.74, 4 Mo 2.74
Mo  0.2500  0.2500  0.2500  4 Mo 2.74, 4 As 2.74
As  0.5000  0.5000  0.5000  4 Mo 2.74, 4 Cl 2.74
Cl  0.7500  0.7500  0.7500  4 As 2.74, 4 Mo 2.74

(2)
VASP calculation (PBEsol) on an optimized crystal structure of MoAsCl2.

Computed properties:
As for the crystal system: tetragonal. The calculation puts the total energy at -4.76 eV/atom. The density of states at the Fermi level comes out at 0.7195 states/eV/atom.

a = 4.2364 Å, b = 4.7074 Å, c = 4.2364 Å
α = 63.26°, β = 90.00°, γ = 116.74°
Last column: nearest neighbours and their distance in Å.
Element x y z (fractional)
Mo  0.5000  0.0000  0.5000  4 As 2.79, 8 Cl 2.79-3.00
As  0.7500  0.5000  0.7500  8 Cl 2.79-3.00, 4 Mo 2.79
Cl  0.0000  0.0000  0.0000  4 Cl 2.79, 4 As 2.79, 4 Mo 3.00
Cl  0.2500  0.5000  0.2500  4 Mo 2.79, 4 Cl 2.79, 4 As 3.00

(3)
VASP calculation (PBEsol) on an optimized crystal structure of MoAs2PtCl.

Computed properties:
As for the crystal system: tetragonal. The calculation puts the total energy at -4.85 eV/atom. The density of states at the Fermi level comes out at 0.5400 states/eV/atom.

a = 4.2371 Å, b = 4.7373 Å, c = 4.7373 Å
α = 90.00°, β = 90.00°, γ = 90.00°
Last column: nearest neighbours and their distance in Å.
Element x y z (fractional)
Mo  0.5000  0.0000  0.0000  2 Cl 2.12
As  0.0000  0.0000  0.5000  2 Cl 2.37
As  0.0000  0.5000  0.0000  2 Cl 2.37
Pt  0.5000  0.5000  0.5000  8 As 3.18, 4 Mo 3.35
Cl  0.0000  0.0000  0.0000  2 Mo 2.12, 4 As 2.37

(4)
VASP calculation (PBEsol) on an optimized crystal structure of AsPNCl2.

Computed properties:
As for the crystal system: tetragonal. The calculation puts the total energy at -3.70 eV/atom. The density of states at the Fermi level comes out at 0.4336 states/eV/atom.

a = 4.1725 Å, b = 4.1725 Å, c = 4.4168 Å
α = 90.00°, β = 90.00°, γ = 90.00°
Last column: nearest neighbours and their distance in Å.
Element x y z (fractional)
P  0.0000  0.0000  0.5000  2 N 2.21
As  0.5000  0.5000  0.5000  4 P 2.95, 8 Cl 3.04
N  0.0000  0.0000  0.0000  4 Cl 2.09, 2 P 2.21
Cl  0.0000  0.5000  0.0000  2 N 2.09
Cl  0.5000  0.0000  0.0000  2 N 2.09

(5)
VASP calculation (PBEsol) on an optimized crystal structure of AsSNCl2.

Computed properties:
As for the crystal system: tetragonal. The calculation puts the total energy at -3.36 eV/atom. The density of states at the Fermi level comes out at 0.8751 states/eV/atom.

a = 4.7539 Å, b = 4.9166 Å, c = 4.9166 Å
α = 90.00°, β = 90.00°, γ = 90.00°
Last column: nearest neighbours and their distance in Å.
Element x y z (fractional)
As  0.0000  0.0000  0.0000  2 S 2.38, 4 Cl 2.46
N  0.5000  0.5000  0.5000  8 Cl 3.42, 4 S 3.48
S  0.5000  0.0000  0.0000  2 As 2.38
Cl  0.0000  0.0000  0.5000  2 As 2.46
Cl  0.0000  0.5000  0.0000  2 As 2.46

(6)
VASP calculation (PBEsol) on an optimized crystal structure of AsSNCl2.

Computed properties:
As for the crystal system: tetragonal. The calculation puts the total energy at -3.41 eV/atom. The density of states at the Fermi level comes out at 0.7123 states/eV/atom.

a = 4.0985 Å, b = 4.0985 Å, c = 4.6511 Å
α = 90.00°, β = 90.00°, γ = 90.00°
Last column: nearest neighbours and their distance in Å.
Element x y z (fractional)
As  0.5000  0.5000  0.5000  4 S 2.90, 8 Cl 3.10
N  0.0000  0.0000  0.0000  4 Cl 2.05
S  0.0000  0.0000  0.5000  2 N 2.33
Cl  0.0000  0.5000  0.0000  2 N 2.05
Cl  0.5000  0.0000  0.0000  2 N 2.05